# RbLaAs2Se

An optimized crystal structure of RbLaAs2Se (PBE-GGA, Alexandria).

**Crystal system**: tetragonal
**Magnetic moment**: 1.18 μB/cell
**Space group**: P4/mmm
**Raw total energy**: -20.32 eV for the cell shown

Cell and atoms, written as POSCAR:
```
RbLaAs2Se
1.0
5.8270 0.0000 0.0000
0.0000 5.8270 0.0000
0.0000 0.0000 5.8298
Rb La As Se
1 1 2 1
direct
0.0000 0.0000 0.0000
0.5000 0.5000 0.5000
0.0000 0.5000 0.5000
0.5000 0.0000 0.5000
0.5000 0.5000 0.0000
```